[1]
CrBr2 | SCAN | single point on PBEsol structure

Lattice parameters (Å, degrees): 3.5762 15.9137 6.2064 90.00 90.00 90.00
Space group Cmcm (No. 63)
Inequivalent atoms, fractional coordinates:
1 Cr 0.0000 0.1868 0.2500 (multiplicity 4)
2 Br 0.0000 0.2014 0.7500 (multiplicity 4)
3 Br 0.0000 0.4198 0.7500 (multiplicity 4)

**Mass density**: 3.98 Mg/m³
**Energy relative to the elements, uncorrected**: -0.9776 eV/atom
**Total magnetic moment**: 16.0 μB per cell

=====

[2]
CrBr2 | SCAN | single point on PBEsol structure

Lattice parameters (Å, degrees): 7.0776 3.5976 6.3804 90.00 95.34 90.00
Space group C2/m (No. 12)
Inequivalent atoms, fractional coordinates:
1 Cr 0.0000 0.0000 0.0000 (multiplicity 2)
2 Br 0.1500 0.5000 0.2333 (multiplicity 4)

**Mass density**: 4.35 Mg/m³
**Energy relative to the elements, uncorrected**: -0.9968 eV/atom
**Total magnetic moment**: 8.0 μB per cell

=====

[3]
Cr2Br | SCAN | single point on PBEsol structure

Lattice parameters (Å, degrees): 2.9220 2.9220 9.7043 90.00 90.00 90.00
Space group I4/mmm (No. 139)
Inequivalent atoms, fractional coordinates:
1 Cr 0.0000 0.0000 0.1870 (multiplicity 4)
2 Br 0.0000 0.0000 0.5000 (multiplicity 2)

**Mass density**: 7.37 Mg/m³
**Energy relative to the elements, uncorrected**: 0.8845 eV/atom
**Offset from the most stable computed form**: 0.738 eV/atom
**Total magnetic moment**: 0.0 μB per cell

=====

[4]
CrBr2 | SCAN | single point on PBEsol structure

Lattice parameters (Å, degrees): 13.4880 3.5649 9.4337 90.00 131.49 90.00
Space group C2/m (No. 12)
Inequivalent atoms, fractional coordinates:
1 Cr 0.2098 0.0000 0.1382 (multiplicity 4)
2 Br 0.0861 0.5000 0.8875 (multiplicity 4)
3 Br 0.1933 0.0000 0.6225 (multiplicity 4)

**Mass density**: 4.14 Mg/m³
**Energy relative to the elements, uncorrected**: -0.9698 eV/atom
**Total magnetic moment**: 16.0 μB per cell

=====

[5]
Cr2Br | SCAN | single point on PBEsol structure

Lattice parameters (Å, degrees): 8.0015 3.1468 8.9434 90.00 109.30 90.00
Space group C2/m (No. 12)
Inequivalent atoms, fractional coordinates:
1 Cr 0.0456 0.0000 0.3625 (multiplicity 4)
2 Cr 0.1548 0.5000 0.5546 (multiplicity 4)
3 Br 0.2014 0.5000 0.1841 (multiplicity 4)

**Mass density**: 5.75 Mg/m³
**Energy relative to the elements, uncorrected**: 0.1466 eV/atom
**Offset from the most stable computed form**: 0.000 eV/atom
**Total magnetic moment**: 0.0 μB per cell

=====

[6]
Cr2Br3 | SCAN | single point on PBEsol structure

Lattice parameters (Å, degrees): 3.8950 3.8950 28.1365 90.00 90.00 120.00
Space group R-3m (No. 166, hexagonal axes)
Inequivalent atoms, fractional coordinates:
1 Cr 0.0000 0.0000 0.1064 (multiplicity 6)
2 Br 0.0000 0.0000 0.2733 (multiplicity 6)
3 Br 0.0000 0.0000 0.5000 (multiplicity 3)

**Mass density**: 4.63 Mg/m³
**Energy relative to the elements, uncorrected**: -0.6977 eV/atom
**Total magnetic moment**: 27.0 μB per cell

=====

Q: What is the formula in the fifth record?
A: Cr2Br